Record 1
! LiBe2W | Alexandria via LeMat-Bulk | GGA-PBE | relaxed; values from VASP
&SYSTEM
  ibrav = 0, nat = 4, ntyp = 3
/
ATOMIC_SPECIES
Li 6.94 Li.upf
Be 9.01 Be.upf
W 183.84 W.upf
ATOMIC_POSITIONS crystal
Li 0.0000 0.0000 0.0000
Be 0.0000 0.0000 0.5828
Be 0.5000 0.5000 0.7467
W 0.5000 0.5000 0.3280
CELL_PARAMETERS angstrom
2.6558 0.0000 0.0000
0.0000 2.6558 0.0000
0.0000 0.0000 6.6637
! - E_form: 0.25 eV per atom
! - E above lowest polymorph: 0.0721 eV/atom
! - DOS at the Fermi energy: 1.8 states/eV/f.u.

---

Record 2
! BaPm2UO8 | Alexandria via LeMat-Bulk | GGA-PBE | relaxed; values from VASP
&SYSTEM
  ibrav = 0, nat = 12, ntyp = 4
/
ATOMIC_SPECIES
Ba 137.33 Ba.upf
Pm 145.00 Pm.upf
U 238.03 U.upf
O 16.00 O.upf
ATOMIC_POSITIONS crystal
Ba 0.0000 0.0000 0.0000
Pm 0.5000 0.2857 0.5000
Pm 0.5000 0.7143 0.5000
U 0.0000 0.5000 0.0000
O 0.0023 0.2942 0.7612
O 0.0023 0.7058 0.7612
O 0.4934 0.0000 0.6383
O 0.4966 0.5000 0.2272
O 0.5034 0.5000 0.7728
O 0.5066 0.0000 0.3617
O 0.9977 0.2942 0.2388
O 0.9977 0.7058 0.2388
CELL_PARAMETERS angstrom
3.9679 0.0000 0.0000
0.0000 8.3056 0.0000
-0.0361 0.0000 5.4689
! - Total DFT energy (no corrections): -97.84 eV for the cell shown
! - DOS at the Fermi energy: 0.0 states/eV/f.u.

---

Record 3
! ErMgTlNi | Alexandria via LeMat-Bulk | GGA-PBE | relaxed; values from VASP
&SYSTEM
  ibrav = 0, nat = 4, ntyp = 4
/
ATOMIC_SPECIES
Er 167.26 Er.upf
Mg 24.30 Mg.upf
Tl 204.38 Tl.upf
Ni 58.69 Ni.upf
ATOMIC_POSITIONS crystal
Er 0.0000 0.0000 0.0000
Mg 0.5000 0.5000 0.5000
Tl 0.2500 0.2500 0.2500
Ni 0.7500 0.7500 0.7500
CELL_PARAMETERS angstrom
0.0000 3.4546 3.4546
3.4546 0.0000 3.4546
3.4546 3.4546 0.0000
! - E_form: -0.17 eV per atom
! - DOS at the Fermi energy: 1.8 states/eV/f.u.

---

Record 4
! NaNd2C2N6 | Alexandria via LeMat-Bulk | GGA-PBE | relaxed; values from VASP
&SYSTEM
  ibrav = 0, nat = 11, ntyp = 4
/
ATOMIC_SPECIES
Na 22.99 Na.upf
Nd 144.24 Nd.upf
C 12.01 C.upf
N 14.01 N.upf
ATOMIC_POSITIONS crystal
Na 0.0000 0.0000 0.0000
Nd 0.3290 0.3290 0.6938
Nd 0.6710 0.6710 0.3062
C 0.3112 0.3112 0.2290
C 0.6888 0.6888 0.7710
N 0.0919 0.4279 0.2871
N 0.4061 0.4061 0.1317
N 0.4279 0.0919 0.2871
N 0.5721 0.9081 0.7129
N 0.5939 0.5939 0.8683
N 0.9081 0.5721 0.7129
CELL_PARAMETERS angstrom
4.9395 -3.3168 0.0000
4.9395 3.3168 0.0000
-2.9056 0.0000 5.6790
! - Total DFT energy (no corrections): -82.50 eV for the cell shown
! - DOS at the Fermi energy: 4.2 states/eV/f.u.